Here is a relaxed PmBiPdO4 crystal from Alexandria via LeMat-Bulk. Energies are from PBE-GGA.

Cell: 7.1292 7.1292 7.1292 Å, 128.23 120.30 82.91°
With the nearest neighbours (Å) after each atom.
Fractional positions:
Pm 0.0000 0.0000 0.0000  6 O 2.36-2.43
Pm 0.5000 0.0000 0.5000  6 O 2.36-2.43
Bi 0.4290 0.6790 0.7500  2 O 2.13
Bi 0.5710 0.3210 0.2500  2 O 2.13
Pd 0.0000 0.0000 0.5000  4 O 2.08
Pd 0.0000 0.5000 0.0000  4 O 2.08
O 0.1635 0.2238 0.9397  2 Pd 2.08
O 0.2159 0.7762 0.4397  2 Pd 2.08
O 0.3026 0.2869 0.4843  1 Bi 2.13, 2 Pm 2.36
O 0.3026 0.8183 0.0157  1 Bi 2.13, 2 Pm 2.36
O 0.6974 0.1817 0.9843  1 Bi 2.13, 2 Pm 2.36
O 0.6974 0.7131 0.5157  1 Bi 2.13, 2 Pm 2.36
O 0.7841 0.2238 0.5603  2 Pd 2.08
O 0.8365 0.7762 0.0603  2 Pd 2.08

Values from the calculation:
formation energy without anion corrections	-1672	meV/atom
crystal system	orthorhombic